*a*
Entry from Alexandria via LeMat-Bulk: an optimized crystal structure of SiTeSN2 (PBE-GGA).

## Properties
- Symmetry: No. 123
- Magnetization: 0.000 μB/atom

Cell: 3.9523 3.9523 5.3271 Å, 90.00 90.00 90.00°
With the nearest neighbours (Å) after each atom.
Sites, in units of the cell vectors:
Te  0.0000  0.0000  0.0000  4 N 1.98
N  0.0000  0.5000  0.0000  2 Te 1.98
N  0.5000  0.0000  0.0000  2 Te 1.98
Si  0.5000  0.5000  0.5000  4 S 2.79
S  0.0000  0.0000  0.5000  2 Te 2.66, 4 Si 2.79

*b*
Entry from Alexandria via LeMat-Bulk: an optimized crystal structure of SiTeSN2 (PBE-GGA).

## Properties
- Symmetry: No. 123
- Magnetization: 0.000 μB/atom

Cell: 3.6262 3.6262 7.0189 Å, 90.00 90.00 90.00°
With the nearest neighbours (Å) after each atom.
Sites, in units of the cell vectors:
Te  0.0000  0.0000  0.5000  4 Si 2.56
S  0.0000  0.0000  0.0000  4 N 1.81
Si  0.5000  0.5000  0.5000  4 Te 2.56
N  0.0000  0.5000  0.0000  2 S 1.81
N  0.5000  0.0000  0.0000  2 S 1.81

*c*
Entry from Alexandria via LeMat-Bulk: an optimized crystal structure of SiTeSN2 (PBE-GGA).

## Properties
- Symmetry: No. 123
- Magnetization: 0.114 μB/atom

Cell: 3.7279 3.7279 4.6997 Å, 90.00 90.00 90.00°
With the nearest neighbours (Å) after each atom.
Sites, in units of the cell vectors:
Te  0.5000  0.5000  0.5000  4 S 2.64
S  0.0000  0.0000  0.5000  2 Si 2.35
Si  0.0000  0.0000  0.0000  4 N 1.86
N  0.5000  0.0000  0.0000  2 Si 1.86
N  0.0000  0.5000  0.0000  2 Si 1.86

*d*
Entry from Alexandria via LeMat-Bulk: an optimized crystal structure of SiTeSN2 (PBE-GGA).

## Properties
- Symmetry: No. 123
- Magnetization: 0.000 μB/atom

Cell: 3.5641 3.5641 6.7743 Å, 90.00 90.00 90.00°
With the nearest neighbours (Å) after each atom.
Sites, in units of the cell vectors:
Te  0.0000  0.0000  0.5000  4 S 2.52
Si  0.0000  0.0000  0.0000  4 N 1.78
N  0.5000  0.0000  0.0000  2 Si 1.78
N  0.0000  0.5000  0.0000  2 Si 1.78
S  0.5000  0.5000  0.5000  4 Te 2.52

Which of them is most stable, and which least? Most stable: *d*; least stable: *b*.

*a*
Entry from Alexandria via LeMat-Bulk: an optimized crystal structure of SiTeS2N (PBE-GGA).

## Properties
- Symmetry: No. 123
- Magnetization: 0.000 μB/atom

Cell: 5.1184 5.1184 3.9101 Å, 90.00 90.00 90.00°
With the nearest neighbours (Å) after each atom.
Sites, in units of the cell vectors:
Si  0.5000  0.5000  0.5000  8 S 3.22
S  0.0000  0.5000  0.0000  2 Te 2.56
Te  0.0000  0.0000  0.0000  2 N 1.96
N  0.0000  0.0000  0.5000  2 Te 1.96
S  0.5000  0.0000  0.0000  2 Te 2.56

*b*
Entry from Alexandria via LeMat-Bulk: an optimized crystal structure of SiTeS2N (PBE-GGA).

## Properties
- Symmetry: No. 123
- Magnetization: 0.023 μB/atom

Cell: 4.8814 4.8814 3.3916 Å, 90.00 90.00 90.00°
With the nearest neighbours (Å) after each atom.
Sites, in units of the cell vectors:
N  0.0000  0.0000  0.5000  2 Si 1.70
Te  0.5000  0.5000  0.5000  8 S 2.97
Si  0.0000  0.0000  0.0000  2 N 1.70
S  0.0000  0.5000  0.0000  2 Si 2.44
S  0.5000  0.0000  0.0000  2 Si 2.44

Which of them is most stable, and which least? Most stable: *b*; least stable: *a*.

*a*
Entry from Alexandria via LeMat-Bulk: an optimized crystal structure of YSiSN2 (PBE-GGA).

## Properties
- Symmetry: No. 123
- Magnetization: 0.600 μB/atom

Cell: 4.3969 4.3969 5.4149 Å, 90.00 90.00 90.00°
With the nearest neighbours (Å) after each atom.
Sites, in units of the cell vectors:
N  0.0000  0.5000  0.0000  2 Y 2.20
N  0.5000  0.0000  0.0000  2 Y 2.20
Y  0.0000  0.0000  0.0000  4 N 2.20
Si  0.5000  0.5000  0.5000  4 S 3.11
S  0.0000  0.0000  0.5000  2 Y 2.71

*b*
Entry from Alexandria via LeMat-Bulk: an optimized crystal structure of YSiSN2 (PBE-GGA).

## Properties
- Symmetry: No. 123
- Magnetization: 0.096 μB/atom

Cell: 3.7125 3.7125 4.7346 Å, 90.00 90.00 90.00°
With the nearest neighbours (Å) after each atom.
Sites, in units of the cell vectors:
S  0.0000  0.0000  0.5000  2 Si 2.37, 4 Y 2.63
Y  0.5000  0.5000  0.5000  4 S 2.63
N  0.5000  0.0000  0.0000  2 Si 1.86
N  0.0000  0.5000  0.0000  2 Si 1.86
Si  0.0000  0.0000  0.0000  4 N 1.86

Which of them is most stable, and which least? Most stable: *b*; least stable: *a*.

*a*
Entry from Alexandria via LeMat-Bulk: an optimized crystal structure of ZrSiS2N (PBE-GGA).

## Properties
- Symmetry: No. 123
- Magnetization: 0.149 μB/atom

Cell: 5.0795 5.0795 4.0569 Å, 90.00 90.00 90.00°
With the nearest neighbours (Å) after each atom.
Sites, in units of the cell vectors:
S  0.0000  0.5000  0.0000  2 Zr 2.54
N  0.0000  0.0000  0.5000  2 Zr 2.03
Zr  0.0000  0.0000  0.0000  2 N 2.03
Si  0.5000  0.5000  0.5000  8 S 3.25, 4 N 3.59
S  0.5000  0.0000  0.0000  2 Zr 2.54

*b*
Entry from Alexandria via LeMat-Bulk: an optimized crystal structure of ZrSiS2N (PBE-GGA).

## Properties
- Symmetry: No. 123
- Magnetization: 0.000 μB/atom

Cell: 4.7447 4.7447 3.3306 Å, 90.00 90.00 90.00°
With the nearest neighbours (Å) after each atom.
Sites, in units of the cell vectors:
S  0.0000  0.5000  0.0000  2 Si 2.37
Si  0.0000  0.0000  0.0000  2 N 1.67
N  0.0000  0.0000  0.5000  2 Si 1.67
Zr  0.5000  0.5000  0.5000  8 S 2.90
S  0.5000  0.0000  0.0000  2 Si 2.37

Which of them is most stable, and which least? Most stable: *b*; least stable: *a*.